Below is a geometry-optimized SrNbSb3 structure, with properties calculated at the PBE level.

Output
The formation energy from raw total energies comes out at -0.17 eV per atom. Its crystal system is cubic. The calculation puts the final energy at -4.993 eV/atom. Its density is 5.640 Mg/m³.

Unit cell a=5.437 b=5.437 c=5.437 alpha=90.00 beta=90.00 gamma=90.00
Space group Pm-3m (No. 221)
Symmetry-distinct sites (fractional):
Sr1 0.000 0.000 0.000 [1 per cell]
Nb1 0.500 0.500 0.500 [1 per cell]
Sb1 0.000 0.500 0.500 [3 per cell]